# 1
# CeMgCuGe2

A relaxed structure of CeMgCuGe2 (PBE, the Alexandria database).

Calculated values
* ρ: 6.331 Mg/m³
* size of the total moment: 0.80 μB/f.u.
* energy: -4.628 eV per atom
* calculated formation energy: -456 meV per atom
* space-group type: I-4m2

POSCAR file:
```
CeMgCuGe2
1.0
4.1496 0.0000 0.0000
0.0000 4.1496 0.0000
-2.0748 -2.0748 5.6855
Ce Mg Cu Ge
1 1 1 2
direct
0.0000 0.0000 0.0000
0.2500 0.7500 0.5000
0.7500 0.2500 0.5000
0.6111 0.6111 0.2221
0.3889 0.3889 0.7779
```



# 2
# CeMgCu2Ge2

A relaxed structure of CeMgCu2Ge2 (PBE, the Alexandria database).

Calculated values
* ρ: 6.729 Mg/m³
* size of the total moment: 0.19 μB/f.u.
* energy: -4.631 eV per atom
* calculated formation energy: -472 meV per atom
* space-group type: P-3m1

POSCAR file:
```
CeMgCu2Ge2
1.0
4.2270 0.0000 0.0000
-2.1135 3.6607 0.0000
0.0000 0.0000 6.9660
Ce Mg Cu Ge
1 1 2 2
direct
0.0000 0.0000 0.0000
0.0000 0.0000 0.5000
0.3333 0.6667 0.6874
0.6667 0.3333 0.3126
0.3333 0.6667 0.2554
0.6667 0.3333 0.7446
```



# 3
# CeMgCuGe

A relaxed structure of CeMgCuGe (PBE, the Alexandria database).

Calculated values
* ρ: 6.186 Mg/m³
* size of the total moment: 0.65 μB/f.u.
* energy: -4.407 eV per atom
* calculated formation energy: -346 meV per atom
* space-group type: F-43m

POSCAR file:
```
CeMgCuGe
1.0
-3.9281 1.5406 -2.3923
-4.0562 1.0725 2.4338
-1.4339 4.6155 0.4096
Mg Ge Cu Ce
1 1 1 1
direct
0.5000 0.5000 0.5000
0.2500 0.2500 0.2500
0.7500 0.7500 0.7500
0.0000 0.0000 0.0000
```



# 4
# Ce2MgCu3Ge4

A relaxed structure of Ce2MgCu3Ge4 (PBE, the Alexandria database).

Calculated values
* ρ: 6.985 Mg/m³
* size of the total moment: 1.10 μB/f.u.
* energy: -4.895 eV per atom
* calculated formation energy: -472 meV per atom
* space-group type: P-4m2

POSCAR file:
```
Ce2MgCu3Ge4
1.0
4.2400 0.0000 0.0000
0.0000 4.2400 0.0000
0.0000 0.0000 10.3899
Ce Mg Cu Ge
2 1 3 4
direct
0.5000 0.0000 0.2381
0.0000 0.5000 0.7619
0.5000 0.5000 0.5000
0.0000 0.0000 0.5000
0.5000 0.0000 0.8784
0.0000 0.5000 0.1216
0.5000 0.5000 0.0000
0.0000 0.0000 0.0000
0.5000 0.0000 0.6495
0.0000 0.5000 0.3505
```



# 5
# Ce3Mg2Cu2Ge4

A relaxed structure of Ce3Mg2Cu2Ge4 (PBE, the Alexandria database).

Calculated values
* ρ: 6.083 Mg/m³
* size of the total moment: 2.00 μB/f.u.
* energy: -4.866 eV per atom
* calculated formation energy: -534 meV per atom
* space-group type: P-3m1

POSCAR file:
```
Ce3Mg2Cu2Ge4
1.0
4.3568 0.0000 0.0000
-2.1784 3.7731 0.0000
0.0000 0.0000 14.7243
Ce Mg Cu Ge
3 2 2 4
direct
0.0000 0.0000 0.7377
0.0000 0.0000 0.0000
0.0000 0.0000 0.2623
0.6667 0.3333 0.4353
0.3333 0.6667 0.5647
0.6667 0.3333 0.8668
0.3333 0.6667 0.1332
0.6667 0.3333 0.1276
0.3333 0.6667 0.8724
0.6667 0.3333 0.6299
0.3333 0.6667 0.3701
```



# 6
# Ce2MnCuGe6

A relaxed structure of Ce2MnCuGe6 (PBE, the Alexandria database).

Calculated values
* ρ: 7.147 Mg/m³
* size of the total moment: 3.06 μB/f.u.
* energy: -5.599 eV per atom
* calculated formation energy: -316 meV per atom
* space-group type: R-3m

POSCAR file:
```
Ce2MnCuGe6
1.0
6.1552 0.0000 0.0000
3.0776 5.3306 0.0000
3.0776 1.7769 11.8195
Ce Mn Cu Ge
4 2 2 12
direct
0.8890 0.8890 0.3329
0.1110 0.1110 0.6671
0.7076 0.7076 0.8771
0.2924 0.2924 0.1229
0.0000 0.0000 0.0000
0.5000 0.5000 0.5000
0.5716 0.5716 0.2851
0.4284 0.4284 0.7149
0.9281 0.3378 0.3963
0.3378 0.9281 0.3963
0.3378 0.3378 0.3963
0.0719 0.6622 0.6037
0.6622 0.0719 0.6037
0.6622 0.6622 0.6037
0.6650 0.2278 0.8794
0.2278 0.6650 0.8794
0.2278 0.2278 0.8794
0.3350 0.7722 0.1206
0.7722 0.3350 0.1206
0.7722 0.7722 0.1206
```



# 7
# CeMnCuGe2

A relaxed structure of CeMnCuGe2 (PBE, the Alexandria database).

Calculated values
* ρ: 7.437 Mg/m³
* size of the total moment: 3.99 μB/f.u.
* energy: -6.130 eV per atom
* calculated formation energy: -443 meV per atom
* space-group type: I-4m2

POSCAR file:
```
CeMnCuGe2
1.0
-1.8922 2.0720 3.0241
-3.5843 -1.7592 -1.0374
3.7254 -4.1425 2.3555
Ce Mn Cu Ge
1 1 1 2
direct
0.0000 0.0000 0.0000
0.7500 0.2500 0.5000
0.2500 0.7500 0.5000
0.6205 0.6205 0.2411
0.3795 0.3795 0.7589
```



# 8
# Ce3Cu2Ge9Mo

A relaxed structure of Ce3Cu2Ge9Mo (PBE, the Alexandria database).

Calculated values
* ρ: 6.557 Mg/m³
* size of the total moment: 2.07 μB/f.u.
* energy: -5.306 eV per atom
* calculated formation energy: -81 meV per atom
* space-group type: P-3m1

POSCAR file:
```
Ce3Cu2Ge9Mo
1.0
-1.5507 7.2158 -1.2567
-2.8834 -3.4623 5.9791
5.4081 1.7978 3.6490
Ce Cu Ge Mo
3 2 9 1
direct
0.3333 0.6667 0.6688
0.0000 0.0000 0.0000
0.6667 0.3333 0.3312
0.3333 0.6667 0.1781
0.6667 0.3333 0.8219
0.8318 0.1682 0.6807
0.8318 0.6637 0.6807
0.3363 0.1682 0.6807
0.6637 0.8318 0.3193
0.1682 0.3363 0.3193
0.1682 0.8318 0.3193
0.5000 0.0000 0.0000
0.0000 0.5000 0.0000
0.5000 0.5000 0.0000
0.0000 0.0000 0.5000
```



# 9
# CeCu2GeN

A relaxed structure of CeCu2GeN (PBE, the Alexandria database).

Calculated values
* ρ: 7.893 Mg/m³
* size of the total moment: 0.15 μB/f.u.
* energy: -5.965 eV per atom
* formation energy (no corrections): -266 kJ/mol of formula units
* space-group type: Cmcm

POSCAR file:
```
CeCu2GeN
1.0
3.5796 0.0000 0.0000
-1.7898 5.8816 0.0000
0.0000 0.0000 7.0723
Ce Cu Ge N
2 4 2 2
direct
0.4667 0.9335 0.7500
0.5333 0.0665 0.2500
0.1648 0.3297 0.9428
0.8352 0.6703 0.0572
0.1648 0.3297 0.5572
0.8352 0.6703 0.4428
0.7415 0.4831 0.7500
0.2585 0.5169 0.2500
0.0000 0.0000 0.0000
0.0000 0.0000 0.5000
```



# 10
# CeNdCuGe

A relaxed structure of CeNdCuGe (PBE, the Alexandria database).

Calculated values
* ρ: 7.338 Mg/m³
* size of the total moment: 1.47 μB/f.u.
* energy: -5.232 eV per atom
* calculated formation energy: -378 meV per atom
* space-group type: F-43m

POSCAR file:
```
CeNdCuGe
1.0
5.1247 0.0000 0.0000
2.5624 4.4381 0.0000
2.5624 1.4794 4.1843
Ge Nd Cu Ce
1 1 1 1
direct
0.2500 0.2500 0.2500
0.5000 0.5000 0.5000
0.7500 0.7500 0.7500
0.0000 0.0000 0.0000
```



# 11
# Ce2Nd2CuGe4

A relaxed structure of Ce2Nd2CuGe4 (PBE, the Alexandria database).

Calculated values
* ρ: 7.176 Mg/m³
* size of the total moment: 2.73 μB/f.u.
* energy: -5.283 eV per atom
* calculated formation energy: -397 meV per atom
* space-group type: I4/mmm

POSCAR file:
```
Ce2Nd2CuGe4
1.0
-4.7694 3.9508 2.1929
-1.6485 -3.6556 -5.2042
1.7447 -4.7646 4.1737
Ce Nd Cu Ge
2 2 1 4
direct
0.0000 0.6737 0.6737
0.0000 0.3263 0.3263
0.5000 0.7500 0.2500
0.5000 0.2500 0.7500
0.0000 0.0000 0.0000
0.0000 0.7644 0.2356
0.5287 0.7644 0.7644
0.0000 0.2356 0.7644
0.4713 0.2356 0.2356
```



# 12
# Ce2NdCu2Ge2

A relaxed structure of Ce2NdCu2Ge2 (PBE, the Alexandria database).

Calculated values
* ρ: 7.969 Mg/m³
* size of the total moment: 1.48 μB/f.u.
* energy: -5.374 eV per atom
* calculated formation energy: -508 meV per atom
* space-group type: R-3m

POSCAR file:
```
Ce2NdCu2Ge2
1.0
4.2580 0.0000 0.0000
2.1290 3.6875 0.0000
2.1290 1.2292 9.2477
Ce Nd Cu Ge
2 1 2 2
direct
0.1409 0.1409 0.5774
0.8591 0.8591 0.4226
0.0000 0.0000 0.0000
0.5917 0.5917 0.2249
0.4083 0.4083 0.7751
0.7384 0.7384 0.7849
0.2616 0.2616 0.2151
```